Entry 1:
Here is crystalline Pm3Cu4Pt4 at its relaxed geometry from the Alexandria database. Energies are from PBE.

The structure in POSCAR format:
```
Pm3Cu4Pt4
1.0
6.561 0.000 0.000
-2.187 6.186 0.000
-2.187 -3.093 5.357
Pm Cu Pt
3 4 4
direct
0.000 0.500 0.500 Pm
0.500 0.500 0.000 Pm
0.500 0.000 0.500 Pm
0.230 0.000 0.000 Cu
0.000 0.230 0.000 Cu
0.770 0.770 0.770 Cu
0.000 0.000 0.230 Cu
0.406 0.406 0.406 Pt
0.000 0.000 0.594 Pt
0.000 0.594 0.000 Pt
0.594 0.000 0.000 Pt
```

Calculated values
Space-group type: I-43m, No. 217
Calculated formation energy, meV/atom: -533



Entry 2:
Here is crystalline Pa2CdPdO8 at its relaxed geometry from the Alexandria database. Energies are from PBE.

The structure in POSCAR format:
```
Pa2CdPdO8
1.0
-0.486 -5.182 -2.276
3.186 0.777 4.638
-4.820 -1.082 3.493
Pa O Pd Cd
2 8 1 1
direct
0.333 0.667 0.863 Pa
0.667 0.333 0.137 Pa
0.738 0.072 0.828 O
0.928 0.666 0.828 O
0.072 0.334 0.172 O
0.667 0.333 0.446 O
0.666 0.738 0.172 O
0.334 0.262 0.828 O
0.333 0.667 0.554 O
0.262 0.928 0.172 O
0.000 0.000 0.000 Pd
0.000 0.000 0.500 Cd
```

Calculated values
Raw formation energy, eV per atom: -1.988
Space-group type: P-3, No. 147



Entry 3:
Here is crystalline TeAs2Au2 at its relaxed geometry from the Alexandria database. Energies are from PBE.

The structure in POSCAR format:
```
TeAs2Au2
1.0
3.941 0.000 0.000
0.000 3.941 0.000
1.971 1.971 7.121
Au As Te
2 2 1
direct
0.750 0.250 0.500 Au
0.250 0.750 0.500 Au
0.612 0.612 0.776 As
0.388 0.388 0.224 As
0.000 0.000 0.000 Te
```

Calculated values
Raw formation energy, eV per atom: 0.276
Space-group type: I4/mmm, No. 139



Entry 4:
Here is crystalline Cs2ThCu2Se4 at its relaxed geometry from the Alexandria database. Energies are from PBE.

The structure in POSCAR format:
```
Cs2ThCu2Se4
1.0
-2.803 3.172 -0.533
-6.378 -5.614 0.122
2.697 0.773 7.493
Cu Cs Th Se
2 2 1 4
direct
0.674 0.985 0.349 Cu
0.326 0.015 0.651 Cu
0.141 0.569 0.282 Cs
0.859 0.431 0.718 Cs
0.000 0.000 0.000 Th
0.802 0.848 0.604 Se
0.480 0.225 0.960 Se
0.198 0.152 0.396 Se
0.520 0.775 0.040 Se
```

Calculated values
Raw formation energy, eV per atom: -1.133
Space-group type: C2/m, No. 12



Entry 5:
Here is crystalline KTaSe2O at its relaxed geometry from the Alexandria database. Energies are from PBE.

The structure in POSCAR format:
```
KTaSe2O
1.0
-1.996 4.765 1.396
-3.438 -1.035 -1.380
-1.334 -1.964 4.796
O Ta Se K
1 1 2 1
direct
0.000 0.500 0.000 O
0.500 0.500 0.500 Ta
0.500 0.000 0.000 Se
0.000 0.000 0.500 Se
0.000 0.000 0.000 K
```

Calculated values
Raw formation energy, eV per atom: 1.348
Space-group type: P4/mmm, No. 123



Entry 6:
Here is crystalline HfMgBe3 at its relaxed geometry from the Alexandria database. Energies are from PBE.

The structure in POSCAR format:
```
HfMgBe3
1.0
-2.012 -4.221 -0.730
-0.002 -0.806 4.663
-4.283 1.983 0.341
Mg Be Hf
1 3 1
direct
0.500 0.500 0.500 Mg
0.500 0.000 0.000 Be
0.000 0.500 0.000 Be
0.000 0.000 0.500 Be
0.000 0.000 0.000 Hf
```

Calculated values
Space-group type: Pm-3m, No. 221
Calculated formation energy, meV/atom: 1539



Entry 7:
Here is crystalline YMo at its relaxed geometry from the Alexandria database. Energies are from PBE.

The structure in POSCAR format:
```
YMo
1.0
5.930 0.000 0.000
0.000 5.930 0.000
0.000 0.000 5.810
Mo Y
4 4
direct
0.362 0.638 0.500 Mo
0.138 0.138 0.000 Mo
0.862 0.862 0.000 Mo
0.638 0.362 0.500 Mo
0.186 0.186 0.500 Y
0.814 0.814 0.500 Y
0.686 0.314 0.000 Y
0.314 0.686 0.000 Y
```

Calculated values
Space-group type: P4_2/mnm, No. 136
Calculated formation energy, meV/atom: 975



Entry 8:
Here is crystalline LiCuW2 at its relaxed geometry from the Alexandria database. Energies are from PBE.

The structure in POSCAR format:
```
LiCuW2
1.0
-1.129 -4.386 1.517
2.522 -3.269 -2.399
0.714 3.814 2.784
Cu Li W
1 1 2
direct
0.484 0.484 0.000 Cu
0.268 0.768 0.500 Li
0.003 0.003 0.000 W
0.744 0.244 0.500 W
```

Calculated values
Space-group type: Imm2, No. 44
Calculated formation energy, meV/atom: 502



Entry 9:
Here is crystalline CsCaSN2 at its relaxed geometry from the Alexandria database. Energies are from PBE.

The structure in POSCAR format:
```
CsCaSN2
1.0
4.402 0.000 0.000
0.000 4.402 0.000
0.000 0.000 6.653
N S Ca Cs
2 1 1 1
direct
0.500 0.000 0.000 N
0.000 0.500 0.000 N
0.000 0.000 0.500 S
0.500 0.500 0.500 Ca
0.000 0.000 0.000 Cs
```

Calculated values
Raw formation energy, eV per atom: 1.409
Space-group type: P4/mmm, No. 123



Entry 10:
Here is crystalline CrHg3 at its relaxed geometry from the Alexandria database. Energies are from PBE.

The structure in POSCAR format:
```
CrHg3
1.0
5.168 0.043 0.000
-1.696 4.881 0.000
0.000 0.000 3.475
Hg Cr
3 1
direct
0.500 0.500 0.000 Hg
0.000 0.500 0.500 Hg
0.500 0.000 0.500 Hg
0.000 0.000 0.000 Cr
```

Calculated values
Space-group type: Cmmm, No. 65
Calculated formation energy, meV/atom: 358



Entry 11:
Here is crystalline La2PrCr2N6 at its relaxed geometry from the Alexandria database. Energies are from PBE.

The structure in POSCAR format:
```
La2PrCr2N6
1.0
-0.579 -3.834 -4.109
-2.955 -4.723 0.939
-6.454 0.057 -3.028
N Cr La Pr
6 2 2 1
direct
0.763 0.267 0.703 N
0.237 0.733 0.297 N
0.733 0.237 0.297 N
0.733 0.733 0.297 N
0.267 0.267 0.703 N
0.267 0.763 0.703 N
0.594 0.594 0.217 Cr
0.406 0.406 0.783 Cr
0.795 0.795 0.616 La
0.205 0.205 0.384 La
0.000 0.000 0.000 Pr
```

Calculated values
Raw formation energy, eV per atom: -0.842
Space-group type: R-3m, No. 166



Entry 12:
Here is crystalline CaGa2P2 at its relaxed geometry from the Alexandria database. Energies are from PBE.

The structure in POSCAR format:
```
CaGa2P2
1.0
-0.148 3.227 2.219
-2.778 -1.651 2.216
3.249 -1.755 6.229
P Ca Ga
2 1 2
direct
0.418 0.418 0.164 P
0.582 0.582 0.836 P
0.000 0.000 0.000 Ca
0.750 0.250 0.500 Ga
0.250 0.750 0.500 Ga
```

Calculated values
Space-group type: I4/mmm, No. 139
Calculated formation energy, meV/atom: -331



| no. | total energy (eV/atom) |
| --- | --- |
| 1 | -5.515 |
| 2 | -7.386 |
| 3 | -3.523 |
| 4 | -4.606 |
| 5 | -3.627 |
| 6 | -3.006 |
| 7 | -7.672 |
| 8 | -7.477 |
| 9 | -3.318 |
| 10 | -2.274 |
| 11 | -8.463 |
| 12 | -4.106 |